[1]
First-principles (SCAN) data for a crystal of Tc4TeP relaxed with PBEsol, as listed in Alexandria via LeMat-Bulk.

```
6
Lattice="5.131 0.000 0.000 2.566 4.444 0.000 2.566 1.481 4.190" Properties=species:S:1:pos:R:3 pbc="T T T"
P 0.000 0.000 0.000
Tc 6.419 2.219 1.569
Tc 3.843 2.219 1.569
Tc 5.131 2.962 3.672
Tc 5.131 4.450 1.569
Te 7.697 4.444 3.142
```

Properties
* formation energy from raw total energies: 0.782 eV/atom
* symmetry: F-43m (216)

[2]
First-principles (SCAN) data for a crystal of TiTc3P relaxed with PBEsol, as listed in Alexandria via LeMat-Bulk.

```
5
Lattice="4.295 0.000 0.000 0.000 4.295 0.000 0.000 0.000 4.295" Properties=species:S:1:pos:R:3 pbc="T T T"
Tc 0.000 2.147 0.000
Tc 2.147 0.000 0.000
Tc 0.000 0.000 2.147
P 0.000 0.000 0.000
Ti 2.147 2.147 2.147
```

Properties
* symmetry: Pm-3m (221)
* DFT formation energy: 132 meV per atom

[3]
First-principles (SCAN) data for a crystal of Ti2TcP2 relaxed with PBEsol, as listed in Alexandria via LeMat-Bulk.

```
10
Lattice="-3.414 0.310 0.167 0.256 -0.531 6.223 0.589 6.203 0.505" Properties=species:S:1:pos:R:3 pbc="T T T"
P 0.245 0.518 4.041
P 0.248 2.171 1.043
P 0.597 3.501 5.685
P 0.600 5.153 2.687
Tc 0.423 2.836 3.364
Tc 0.000 0.000 0.000
Ti -1.525 0.981 2.269
Ti -1.044 5.001 4.627
Ti -1.276 4.176 1.426
Ti -1.293 1.807 5.469
```

Properties
* symmetry: P4/mbm (127)
* DFT formation energy: -1014 meV per atom

[4]
First-principles (SCAN) data for a crystal of Tl2TcP relaxed with PBEsol, as listed in Alexandria via LeMat-Bulk.

```
4
Lattice="3.052 0.000 0.000 0.000 3.052 0.000 0.000 0.000 8.392" Properties=species:S:1:pos:R:3 pbc="T T T"
Tl 0.000 0.000 2.214
Tl 0.000 0.000 6.178
Tc 1.526 1.526 4.196
P 1.526 1.526 0.000
```

Properties
* symmetry: P4/mmm (123)
* DFT formation energy: 939 meV per atom

[5]
First-principles (SCAN) data for a crystal of TlTcP3 relaxed with PBEsol, as listed in Alexandria via LeMat-Bulk.

```
5
Lattice="4.636 0.000 0.000 0.000 4.636 0.000 0.000 0.000 4.636" Properties=species:S:1:pos:R:3 pbc="T T T"
Tc 0.000 0.000 0.000
P 2.318 0.000 0.000
P 0.000 2.318 0.000
P 0.000 0.000 2.318
Tl 2.318 2.318 2.318
```

Properties
* symmetry: Pm-3m (221)
* DFT formation energy: 473 meV per atom

[6]
First-principles (SCAN) data for a crystal of TcPW3 relaxed with PBEsol, as listed in Alexandria via LeMat-Bulk.

```
5
Lattice="-2.545 0.722 -3.814 0.275 -4.516 -1.038 -3.872 -0.795 2.433" Properties=species:S:1:pos:R:3 pbc="T T T"
W 0.137 -2.258 -0.519
W -1.936 -0.397 1.216
W -1.272 0.361 -1.907
P -3.071 -2.294 -1.210
Tc 0.000 0.000 0.000
```

Properties
* symmetry: Pm-3m (221)
* DFT formation energy: 2315 meV per atom

[7]
First-principles (SCAN) data for a crystal of Y2TcP relaxed with PBEsol, as listed in Alexandria via LeMat-Bulk.

```
4
Lattice="3.637 0.000 0.000 0.000 4.233 0.000 0.000 0.000 5.652" Properties=species:S:1:pos:R:3 pbc="T T T"
Tc 1.818 2.117 0.883
P 0.000 0.000 3.337
Y 1.818 2.117 3.758
Y 0.000 0.000 0.500
```

Properties
* symmetry: Pmm2 (25)
* DFT formation energy: -250 meV per atom

[8]
First-principles (SCAN) data for a crystal of YTcP2 relaxed with PBEsol, as listed in Alexandria via LeMat-Bulk.

```
4
Lattice="3.022 0.029 0.000 -0.029 3.022 0.000 0.000 0.000 6.720" Properties=species:S:1:pos:R:3 pbc="T T T"
P 0.000 0.000 1.971
P 0.000 0.000 4.749
Tc 1.496 1.526 3.360
Y 1.496 1.526 0.000
```

Properties
* symmetry: P4/mmm (123)
* DFT formation energy: -569 meV per atom